[1]
DFT (PBE) results for an optimized crystal structure of AcPdS.

- space-group type = No. 187
- mass density (g cm⁻³) = 8.9
- E_form (uncorrected) (eV/atom) = -1.239
- size of the total moment (μB per atom) = 0.0001
- distance to the lowest polymorph of the same formula (meV per atom) = 0

Cell: 4.073 4.404 4.404 Å, 120.00 90.00 90.00°
Element x y z (fractional)
Ac 0.667 0.667 0.333
Pd 0.166 0.333 0.667
S 0.167 0.000 0.000



[2]
DFT (PBE) results for an optimized crystal structure of MgBeRe2.

- space-group type = No. 6
- mass density (g cm⁻³) = 11.6
- ΔH_f (0 K) (eV/atom) = 0.2649
- size of the total moment (μB per atom) = 0.0000
- distance to the lowest polymorph of the same formula (meV per atom) = 214

Cell: 4.307 2.708 5.039 Å, 80.53 90.00 90.00°
Element x y z (fractional)
Be 0.000 0.434 0.499
Mg 0.500 0.725 0.729
Re 0.500 0.284 0.243
Re 0.000 0.057 0.028



[3]
DFT (PBE) results for an optimized crystal structure of Cr2Cu2Br.

- space-group type = No. 139
- mass density (g cm⁻³) = 6.5
- E_form (uncorrected) (eV/atom) = 0.594
- size of the total moment (μB per atom) = 0.0000
- distance to the lowest polymorph of the same formula (meV per atom) = 0

Cell: 3.220 3.220 7.954 Å, 78.32 78.32 90.00°
Element x y z (fractional)
Cr 0.250 0.750 0.500
Cr 0.750 0.250 0.500
Cu 0.616 0.616 0.769
Cu 0.384 0.384 0.231
Br 0.000 0.000 0.000